4
Lattice="2.577 0.000 0.000 0.000 4.176 0.000 -0.846 0.000 4.972" Properties=species:S:1:pos:R:3 comment="ZnFe2W GGA-PBE optimized geometry" ef_mev_per_atom=183 total_magnetization_mub_per_fu=4.16 crystal_system=monoclinic n_ef_per_ev_atom=0.7136 pbc="T T T"
Zn 0.000 0.000 0.000
Fe -0.005 2.088 3.711
Fe 1.736 2.088 1.261
W 0.865 0.000 2.486

4
Lattice="1.372 0.792 8.914 -1.372 0.792 8.914 0.000 -1.585 8.914" Properties=species:S:1:pos:R:3 comment="ZnFeW2 GGA-PBE optimized geometry" ef_mev_per_atom=327 total_magnetization_mub_per_fu=0.50 crystal_system=trigonal n_ef_per_ev_atom=0.6570 pbc="T T T"
Zn 0.000 0.000 0.000
Fe 0.000 0.000 13.370
W 0.000 0.000 6.557
W 0.000 0.000 20.184

5
Lattice="4.148 0.000 0.000 0.000 4.148 0.000 0.000 0.000 4.148" Properties=species:S:1:pos:R:3 comment="ZnFe3W GGA-PBE optimized geometry" ef_mev_per_atom=1658 de_polymorph_mev_per_atom=127 total_magnetization_mub_per_fu=0.00 crystal_system=cubic n_ef_per_ev_atom=1.5405 pbc="T T T"
Zn 0.000 0.000 0.000
Fe 0.000 0.000 2.074
Fe 0.000 2.074 0.000
Fe 2.074 0.000 0.000
W 2.074 2.074 2.074

4
Lattice="-1.844 1.844 4.095 1.844 -1.844 4.095 1.844 1.844 -4.095" Properties=species:S:1:pos:R:3 comment="Zn2FeW GGA-PBE optimized geometry" ef_mev_per_atom=333 de_polymorph_mev_per_atom=229 total_magnetization_mub_per_fu=2.35 crystal_system=tetragonal n_ef_per_ev_atom=0.7335 pbc="T T T"
Zn 1.844 0.000 2.048
Zn 0.000 1.844 2.048
Fe 0.000 0.000 0.000
W 0.000 0.000 4.095

4
Lattice="2.663 -4.116 0.000 2.663 4.116 0.000 0.000 0.000 2.592" Properties=species:S:1:pos:R:3 comment="Zn2FeW GGA-PBE optimized geometry" ef_mev_per_atom=215 de_polymorph_mev_per_atom=111 total_magnetization_mub_per_fu=2.75 crystal_system=orthorhombic n_ef_per_ev_atom=0.4050 pbc="T T T"
Zn 1.332 2.058 0.000
Zn 1.332 -2.058 0.000
Fe 0.000 0.000 1.296
W 2.663 0.000 1.296

4
Lattice="0.000 2.997 2.997 2.997 0.000 2.997 2.997 2.997 0.000" Properties=species:S:1:pos:R:3 comment="Zn2FeW GGA-PBE optimized geometry" ef_mev_per_atom=546 de_polymorph_mev_per_atom=442 total_magnetization_mub_per_fu=0.00 crystal_system=cubic n_ef_per_ev_atom=1.2369 pbc="T T T"
Zn 1.498 1.498 1.498
Zn 4.495 4.495 4.495
Fe 0.000 0.000 0.000
W 2.997 2.997 2.997

4
Lattice="4.035 0.000 0.000 0.000 4.035 0.000 0.000 0.000 3.067" Properties=species:S:1:pos:R:3 comment="ZnFe2W GGA-PBE optimized geometry" ef_mev_per_atom=133 total_magnetization_mub_per_fu=0.00 crystal_system=tetragonal n_ef_per_ev_atom=0.2887 pbc="T T T"
Zn 0.000 0.000 0.000
Fe 0.000 2.017 1.534
Fe 2.017 0.000 1.534
W 2.017 2.017 0.000

4
Lattice="0.000 2.976 2.976 2.976 0.000 2.976 2.976 2.976 0.000" Properties=species:S:1:pos:R:3 comment="ZnFe2W GGA-PBE optimized geometry" ef_mev_per_atom=255 total_magnetization_mub_per_fu=4.00 crystal_system=cubic n_ef_per_ev_atom=0.8579 pbc="T T T"
Zn 0.000 0.000 0.000
Fe 1.488 1.488 1.488
Fe 2.976 2.976 2.976
W 4.464 4.464 4.464